(1)
Here is a relaxed structure of Rb2ScTaSn from the Alexandria database. Energies are from PBE-GGA.

Properties
Calculated formation energy in eV per atom: 1.498
DFT total energy in eV for the cell shown: -16.631
Density of states at the Fermi level in states/eV per cell: 3.52

Cell: 6.4392 6.4392 4.9327 Å, 90.00 90.00 90.00°
Space group P4/mmm (No. 123)
Inequivalent atoms, fractional coordinates:
Rb 0.0000 0.5000 0.0000
Sc 0.0000 0.0000 0.0000
Ta 0.0000 0.0000 0.5000
Sn 0.5000 0.5000 0.5000


(2)
Here is a relaxed structure of SmGd2Ga from the Alexandria database. Energies are from PBE-GGA.

Properties
Distance to the lowest polymorph of the same formula in meV/atom: 15
Calculated formation energy in eV per atom: -0.260
DFT total energy in eV for the cell shown: -36.950
Density of states at the Fermi level in states/eV per cell: 3.51

Cell: 4.7618 4.7618 4.8086 Å, 90.00 90.00 90.00°
Space group P4/mmm (No. 123)
Inequivalent atoms, fractional coordinates:
Sm 0.0000 0.0000 0.0000
Gd 0.0000 0.5000 0.5000
Ga 0.5000 0.5000 0.0000


(3)
Here is a relaxed structure of Na3CdPd2O6 from the Alexandria database. Energies are from PBE-GGA.

Properties
Formation energy without anion corrections in eV per atom: -0.9727
DFT total energy in eV for the cell shown: -113.358
Density of states at the Fermi level in states/eV per cell: 10.60

Cell: 5.6153 9.8278 5.6630 Å, 90.00 109.37 90.00°
Space group C2/m (No. 12)
Inequivalent atoms, fractional coordinates:
Na 0.0000 0.0000 0.0000
Na 0.0000 0.3348 0.0000
Cd 0.0000 0.5000 0.5000
Pd 0.0000 0.1675 0.5000
O 0.2092 0.0000 0.7085
O 0.2478 0.1794 0.2925


(4)
Here is a relaxed structure of Ce3MgFe from the Alexandria database. Energies are from PBE-GGA.

Properties
Distance to the lowest polymorph of the same formula in meV/atom: 20
Calculated formation energy in eV per atom: 0.023
DFT total energy in eV for the cell shown: -27.746
Density of states at the Fermi level in states/eV per cell: 14.62

Cell: 5.1330 5.1330 5.1330 Å, 90.00 90.00 90.00°
Space group Pm-3m (No. 221)
Inequivalent atoms, fractional coordinates:
Ce 0.0000 0.0000 0.5000
Mg 0.5000 0.5000 0.5000
Fe 0.0000 0.0000 0.0000


- DFT total energy of number 2 (SmGd2Ga)?
  -36.950 eV for the cell shown


- What is the formula in the first record?
  Rb2ScTaSn


Please write out number 4 again, unchanged.
Here is a relaxed structure of Ce3MgFe from the Alexandria database. Energies are from PBE-GGA.

Properties
Distance to the lowest polymorph of the same formula in meV/atom: 20
Calculated formation energy in eV per atom: 0.023
DFT total energy in eV for the cell shown: -27.746
Density of states at the Fermi level in states/eV per cell: 14.62

Cell: 5.1330 5.1330 5.1330 Å, 90.00 90.00 90.00°
Space group Pm-3m (No. 221)
Inequivalent atoms, fractional coordinates:
Ce 0.0000 0.0000 0.5000
Mg 0.5000 0.5000 0.5000
Fe 0.0000 0.0000 0.0000